(1)
Material: CaPaCuS4
Method: DFT, PBE-GGA
State: relaxed

## Properties
- raw formation energy (eV/f.u.) = -8.7
- space group = Cmcm, No. 63
- E_tot (eV/atom) = -5.83
- M_tot (μB per cell) = 0.00
- volume (Å³/atom) = 22.2

Cell lengths 5.7642, 5.7642, 9.6512 Å; angles 90.00, 90.00, 104.65 degrees
Atoms (fractional coordinates):
Ca: 0.0000 0.0000 0.0000
Ca: 0.0000 0.0000 0.5000
Pa: 0.3063 0.6937 0.7500
Pa: 0.6937 0.3063 0.2500
Cu: 0.3400 0.6600 0.2500
Cu: 0.6600 0.3400 0.7500
S: 0.2035 0.2519 0.2500
S: 0.2519 0.2035 0.7500
S: 0.2952 0.7048 0.0080
S: 0.2952 0.7048 0.4920
S: 0.7048 0.2952 0.5080
S: 0.7048 0.2952 0.9920
S: 0.7481 0.7965 0.2500
S: 0.7965 0.7481 0.7500

---

(2)
Material: Tb2TmAg2
Method: DFT, PBE-GGA
State: relaxed

## Properties
- energy relative to the lowest polymorph listed for this composition (meV/atom) = 142
- space group = P2_1/m, No. 11
- E_tot (eV/atom) = -3.98
- M_tot (μB per cell) = 0.00
- energy relative to the elements (meV/atom) = -93
- volume (Å³/atom) = 28.0

Cell lengths 5.6518, 4.7295, 10.5918 Å; angles 90.00, 97.87, 90.00 degrees
Atoms (fractional coordinates):
Tb: 0.1098 0.2500 0.3778
Tb: 0.2520 0.2500 0.0433
Tb: 0.7480 0.7500 0.9567
Tb: 0.8902 0.7500 0.6222
Tm: 0.4109 0.2500 0.7172
Tm: 0.5891 0.7500 0.2828
Ag: 0.2311 0.7500 0.8591
Ag: 0.3642 0.7500 0.5306
Ag: 0.6358 0.2500 0.4694
Ag: 0.7689 0.2500 0.1409

---

(3)
Material: Zn2AgP
Method: DFT, PBE-GGA
State: relaxed

## Properties
- space group = C2/m, No. 12
- E_tot (eV/atom) = -2.54
- M_tot (μB per cell) = 0.00
- energy relative to the elements (meV/atom) = 161
- volume (Å³/atom) = 18.0

Cell lengths 6.4080, 6.4080, 4.3327 Å; angles 109.13, 109.13, 25.47 degrees
Atoms (fractional coordinates):
Zn: 0.2097 0.2097 0.2115
Zn: 0.7903 0.7903 0.7885
Ag: 0.5000 0.5000 0.5000
P: 0.0000 0.0000 0.0000

---

(4)
Material: ZrAl2Cu
Method: DFT, PBE-GGA
State: relaxed

## Properties
- space group = Pnma, No. 62
- E_tot (eV/atom) = -5.43
- M_tot (μB per cell) = 0.00
- energy relative to the elements (meV/atom) = -397
- volume (Å³/atom) = 16.6

Cell lengths 6.5001, 4.1107, 9.9441 Å; angles 90.00, 90.00, 90.00 degrees
Atoms (fractional coordinates):
Zr: 0.2160 0.2500 0.1729
Zr: 0.2840 0.7500 0.6729
Zr: 0.7160 0.2500 0.3271
Zr: 0.7840 0.7500 0.8271
Al: 0.0427 0.7500 0.3799
Al: 0.2057 0.7500 0.9623
Al: 0.2943 0.2500 0.4623
Al: 0.4573 0.2500 0.8799
Al: 0.5427 0.7500 0.1201
Al: 0.7057 0.7500 0.5377
Al: 0.7943 0.2500 0.0377
Al: 0.9573 0.2500 0.6201
Cu: 0.0795 0.2500 0.8576
Cu: 0.4205 0.7500 0.3576
Cu: 0.5795 0.2500 0.6424
Cu: 0.9205 0.7500 0.1424

---

(5)
Material: Ca2RhAu
Method: DFT, PBE-GGA
State: relaxed

## Properties
- space group = I-4m2, No. 119
- E_tot (eV/atom) = -4.08
- M_tot (μB per cell) = 0.00
- energy relative to the elements (meV/atom) = -420
- volume (Å³/atom) = 21.7

Cell lengths 5.6892, 5.6892, 5.6892 Å; angles 136.26, 136.26, 63.58 degrees
Atoms (fractional coordinates):
Ca: 0.0000 0.0000 0.0000
Ca: 0.7500 0.2500 0.5000
Rh: 0.2500 0.7500 0.5000
Au: 0.5000 0.5000 0.0000

---

(6)
Material: CaPrC
Method: DFT, PBE-GGA
State: relaxed

## Properties
- space group = C2/m, No. 12
- E_tot (eV/atom) = -5.17
- M_tot (μB per cell) = 0.00
- energy relative to the elements (meV/atom) = 160
- volume (Å³/atom) = 25.7

Cell lengths 5.5280, 5.5280, 6.6943 Å; angles 114.11, 114.11, 58.70 degrees
Atoms (fractional coordinates):
Ca: 0.1334 0.1334 0.4126
Ca: 0.8666 0.8666 0.5874
Pr: 0.3638 0.3638 0.1180
Pr: 0.6362 0.6362 0.8820
C: 0.0753 0.0753 0.0139
C: 0.9247 0.9247 0.9861